First-principles (GGA-PBE) data for a relaxed NbHgTe2 crystal, as listed in Alexandria.

Cell lengths 7.4143, 7.4143, 7.1641 Å; angles 90.00, 90.00, 90.00 degrees
Space group I4/mcm (No. 140)
Symmetry-distinct sites (fractional):
1 Nb 0.0000 0.0000 0.2500
2 Hg 0.0000 0.5000 0.2500
3 Te 0.2213 0.2787 0.0000

uncorrected energy: -3.807 eV/atom
energy relative to the lowest polymorph listed for this composition: 268 kJ/mol of formula units
volume: 394 Å³/cell
energy relative to the elements, uncorrected: 0.356 eV/atom
total magnetization: 1.93 μB/f.u.

***

First-principles (GGA-PBE) data for a relaxed TlBiSeBr2 crystal, as listed in Alexandria.

Cell lengths 5.8177, 5.8177, 5.5800 Å; angles 90.00, 90.00, 90.00 degrees
Space group P4/mmm (No. 123)
Symmetry-distinct sites (fractional):
1 Tl 0.0000 0.0000 0.0000
2 Bi 0.5000 0.5000 0.5000
3 Se 0.5000 0.5000 0.0000
4 Br 0.0000 0.5000 0.5000

uncorrected energy: -3.066 eV/atom
energy relative to the lowest polymorph listed for this composition: 0 kJ/mol of formula units
volume: 189 Å³/cell
energy relative to the elements, uncorrected: -0.450 eV/atom
total magnetization: 0.00 μB/f.u.

***

First-principles (GGA-PBE) data for a relaxed Sm3Se2 crystal, as listed in Alexandria.

Cell lengths 7.1206, 7.1206, 20.1271 Å; angles 90.00, 90.00, 120.00 degrees
Space group R-3c (No. 167, hexagonal axes)
Symmetry-distinct sites (fractional):
1 Sm 0.0000 0.3311 0.2500
2 Se 0.0000 0.0000 0.1630

uncorrected energy: -5.566 eV/atom
energy relative to the lowest polymorph listed for this composition: 29 kJ/mol of formula units
volume: 884 Å³/cell
energy relative to the elements, uncorrected: -1.341 eV/atom
total magnetization: 0.00 μB/f.u.

***

First-principles (GGA-PBE) data for a relaxed HSeBr2Cl crystal, as listed in Alexandria.

Cell lengths 5.4994, 5.4994, 4.9798 Å; angles 90.00, 90.00, 90.00 degrees
Space group P4/mmm (No. 123)
Symmetry-distinct sites (fractional):
1 H 0.0000 0.0000 0.0000
2 Se 0.5000 0.5000 0.0000
3 Br 0.0000 0.5000 0.5000
4 Cl 0.5000 0.5000 0.5000

uncorrected energy: -1.397 eV/atom
energy relative to the lowest polymorph listed for this composition: 182 kJ/mol of formula units
volume: 151 Å³/cell
total magnetization: 2.37 μB/f.u.

***

First-principles (GGA-PBE) data for a relaxed NdSm2Er3Bi6 crystal, as listed in Alexandria.

Cell lengths 19.6528, 4.5136, 9.0183 Å; angles 90.00, 103.11, 90.00 degrees
Space group C2/m (No. 12)
Symmetry-distinct sites (fractional):
1 Nd 0.0000 0.0000 0.0000
2 Sm 0.1670 0.5000 0.3336
3 Er 0.0000 0.0000 0.5000
4 Er 0.1661 0.5000 0.8330
5 Bi 0.0013 0.5000 0.7433
6 Bi 0.1649 0.0000 0.5875
7 Bi 0.1694 0.0000 0.0796

uncorrected energy: -5.136 eV/atom
energy of formation: -0.871 eV per atom
volume: 779 Å³/cell
total magnetization: 0.00 μB/f.u.

***

First-principles (GGA-PBE) data for a relaxed NaCoAu3 crystal, as listed in Alexandria.

Cell lengths 4.8614, 4.8614, 4.8614 Å; angles 90.00, 90.00, 90.00 degrees
Space group Pm-3m (No. 221)
Symmetry-distinct sites (fractional):
1 Na 0.0000 0.0000 0.0000
2 Co 0.5000 0.5000 0.5000
3 Au 0.0000 0.0000 0.5000

uncorrected energy: -2.380 eV/atom
energy relative to the lowest polymorph listed for this composition: 460 kJ/mol of formula units
energy of formation: 1.271 eV per atom
volume: 115 Å³/cell
total magnetization: 2.15 μB/f.u.

***

First-principles (GGA-PBE) data for a relaxed Ce2Nd3Tl6 crystal, as listed in Alexandria.

Cell lengths 4.7951, 4.7951, 29.4358 Å; angles 90.00, 90.00, 90.00 degrees
Space group I4/mmm (No. 139)
Symmetry-distinct sites (fractional):
1 Ce 0.0000 0.0000 0.0437
2 Nd 0.0000 0.0000 0.2996
3 Nd 0.0000 0.0000 0.5000
4 Tl 0.0000 0.0000 0.1920
5 Tl 0.0000 0.5000 0.1150

uncorrected energy: -3.769 eV/atom
energy of formation: -0.099 eV per atom
volume: 677 Å³/cell
total magnetization: 1.17 μB/f.u.